This record from Alexandria describes a geometry-optimized DyYHo2Tl2 structure. The functional is PBE.

SG	No. 26
energy relative to the elements	-1.7	eV per formula unit

Cell: 5.0777 6.8361 9.9385 Å, 90.00 90.00 90.00°
With the nearest neighbours (Å) after each atom.
Sites, in units of the cell vectors:
1 Ho 0.5000 0.0547 0.0431  5 Tl 3.20-3.50, 4 Ho 3.50-3.52
2 Ho 0.5000 0.5547 0.9569  5 Tl 3.20-3.50, 4 Ho 3.50-3.52
3 Ho 0.0000 0.3374 0.1872  4 Tl 3.18-3.21, 2 Ho 3.50
4 Ho 0.0000 0.8374 0.8128  4 Tl 3.18-3.21, 2 Ho 3.50
5 Y 0.0000 0.4602 0.5437  5 Tl 3.21-3.51, 2 Dy 3.50, 2 Y 3.53
6 Y 0.0000 0.9602 0.4563  5 Tl 3.21-3.51, 2 Dy 3.50, 2 Y 3.53
7 Dy 0.5000 0.6778 0.3112  4 Tl 3.20-3.21, 2 Y 3.50
8 Dy 0.5000 0.1778 0.6888  4 Tl 3.20-3.21, 2 Y 3.50
9 Tl 0.0000 0.7995 0.1318  6 Ho 3.18-3.50, 2 Dy 3.21, 1 Y 3.41
10 Tl 0.5000 0.7159 0.6335  2 Dy 3.20-3.21, 4 Y 3.21-3.51, 3 Ho 3.21-3.40
11 Tl 0.5000 0.2159 0.3665  2 Dy 3.20-3.21, 4 Y 3.21-3.51, 3 Ho 3.21-3.40
12 Tl 0.0000 0.2995 0.8682  6 Ho 3.18-3.50, 2 Dy 3.21, 1 Y 3.41

---

This record from Alexandria describes a geometry-optimized La2WSe structure. The functional is PBE.

SG	No. 225
formation energy from raw total energies	0.15	eV/f.u.

Cell: 5.2441 5.2441 5.2441 Å, 60.00 60.00 60.00°
With the nearest neighbours (Å) after each atom.
Sites, in units of the cell vectors:
1 La 0.7500 0.7500 0.7500  4 W 3.21, 4 Se 3.21
2 La 0.2500 0.2500 0.2500  4 Se 3.21, 4 W 3.21
3 Se 0.0000 0.0000 0.0000  8 La 3.21
4 W 0.5000 0.5000 0.5000  8 La 3.21

---

| no. | DFT total energy (eV per cell) | density (g cm⁻³) |
| --- | --- | --- |
| 1 | -53.22 | 9.5 |
| 2 | -26.14 | 8.8 |